Model A:
Here is a geometry-optimized La2CuF structure from Alexandria. Energies are from PBE.

total magnetic moment = 0.00 Bohr magnetons per cell
density of states at the Fermi level = 7.87 states/eV/f.u.
mass density = 6.74 Mg/m³

The structure in POSCAR format:
```
La2CuF
1.0
0.000 3.541 3.541
3.541 0.000 3.541
3.541 3.541 0.000
Cu La F
1 2 1
Cartesian
3.541 3.541 3.541
5.312 5.312 5.312
1.771 1.771 1.771
0.000 0.000 0.000
```

---

Model B:
Here is a geometry-optimized La2CuF structure from Alexandria. Energies are from PBE.

total magnetic moment = 0.00 Bohr magnetons per cell
density of states at the Fermi level = 3.13 states/eV/f.u.
mass density = 5.31 Mg/m³

The structure in POSCAR format:
```
La2CuF
1.0
-4.251 -2.790 2.978
-0.443 -3.959 -4.342
2.119 -7.070 2.232
La F Cu
4 2 2
Cartesian
-0.190 -7.998 0.982
-2.006 -3.890 1.753
-0.456 -4.707 -1.660
-2.500 -11.044 0.661
-2.347 -3.375 -0.682
-0.336 -7.202 -1.396
-2.240 -6.617 2.264
0.000 0.000 0.000
```

---

The data favor model B; the next most stable structure lies 199 meV per atom above it.

---

Model A:
Here is a geometry-optimized La2CuF structure from Alexandria. Energies are from PBE.

total magnetic moment = 0.00 Bohr magnetons per cell
density of states at the Fermi level = 2.37 states/eV/f.u.
mass density = 6.44 Mg/m³

The structure in POSCAR format:
```
La2CuF
1.0
4.135 0.000 0.000
2.068 3.581 0.000
2.068 1.194 6.278
Cu La F
1 2 1
Cartesian
4.135 2.387 3.139
6.203 3.581 4.867
2.068 1.194 1.411
0.000 0.000 0.000
```

---

Model B:
Here is a geometry-optimized La2CuF structure from Alexandria. Energies are from PBE.

total magnetic moment = 0.00 Bohr magnetons per cell
density of states at the Fermi level = 2.57 states/eV/f.u.
mass density = 6.26 Mg/m³

The structure in POSCAR format:
```
La2CuF
1.0
3.955 0.000 0.000
1.978 3.426 0.000
1.978 1.142 7.058
La F Cu
2 1 1
Cartesian
1.978 1.142 1.763
1.978 1.142 5.192
3.955 2.284 3.674
5.933 3.426 7.016
```

---

The data favor model A; the next most stable structure lies 139 meV per atom above it.

---

Model A:
Here is a geometry-optimized LiLa2CuF structure from Alexandria. Energies are from PBE.

total magnetic moment = 2.05 Bohr magnetons per cell
density of states at the Fermi level = 5.61 states/eV/f.u.
mass density = 4.42 Mg/m³

The structure in POSCAR format:
```
LiLa2CuF
1.0
5.848 0.000 0.000
0.000 4.030 0.000
0.000 0.000 5.848
F Cu La Li
1 1 2 1
Cartesian
0.000 2.015 0.000
0.000 0.000 0.000
2.924 0.000 0.000
0.000 0.000 2.924
2.924 2.015 2.924
```

---

Model B:
Here is a geometry-optimized LiLa2CuF structure from Alexandria. Energies are from PBE.

total magnetic moment = 0.00 Bohr magnetons per cell
density of states at the Fermi level = 3.72 states/eV/f.u.
mass density = 5.92 Mg/m³

The structure in POSCAR format:
```
LiLa2CuF
1.0
-1.875 1.335 -4.674
-4.685 -1.830 1.357
-0.943 3.418 1.354
Cu Li La F
1 1 2 1
Cartesian
-3.751 1.461 -0.981
-0.471 1.709 0.677
-2.343 -0.915 0.678
-0.937 0.667 -2.337
0.000 0.000 0.000
```

---

The data favor model B; the next most stable structure lies 872 meV per atom above it.

---

Model A:
Here is a geometry-optimized LaCuNF2 structure from Alexandria. Energies are from PBE.

total magnetic moment = 0.00 Bohr magnetons per cell
density of states at the Fermi level = 1.11 states/eV/f.u.
mass density = 4.40 Mg/m³

The structure in POSCAR format:
```
LaCuNF2
1.0
4.641 0.000 0.000
0.000 4.641 0.000
0.000 0.000 4.454
F La N Cu
2 1 1 1
Cartesian
0.000 2.321 0.000
2.321 0.000 0.000
0.000 0.000 0.000
0.000 0.000 2.227
2.321 2.321 2.227
```

---

Model B:
Here is a geometry-optimized LaCuNF2 structure from Alexandria. Energies are from PBE.

total magnetic moment = 0.00 Bohr magnetons per cell
density of states at the Fermi level = 3.64 states/eV/f.u.
mass density = 6.51 Mg/m³

The structure in POSCAR format:
```
LaCuNF2
1.0
-0.097 2.245 3.281
-3.518 1.480 -1.117
-1.912 -3.025 2.014
N F La Cu
1 2 1 1
Cartesian
-0.956 -1.513 1.007
-0.049 1.123 1.640
-1.759 0.740 -0.559
-2.764 0.350 2.089
0.000 0.000 0.000
```

---

The data favor model B; the next most stable structure lies 353 meV per atom above it.

---

Model A:
Here is a geometry-optimized LaCuOF2 structure from Alexandria. Energies are from PBE.

total magnetic moment = 0.00 Bohr magnetons per cell
density of states at the Fermi level = 3.39 states/eV/f.u.
mass density = 6.39 Mg/m³

The structure in POSCAR format:
```
LaCuOF2
1.0
-3.021 1.771 2.091
-2.613 -2.798 -1.405
0.810 -2.340 3.153
Cu F La O
1 2 1 1
Cartesian
0.000 0.000 0.000
-1.510 0.886 1.045
-1.307 -1.399 -0.703
-2.412 -1.683 1.919
0.405 -1.170 1.576
```

---

Model B:
Here is a geometry-optimized LaCuOF2 structure from Alexandria. Energies are from PBE.

total magnetic moment = 0.04 Bohr magnetons per cell
density of states at the Fermi level = 0.87 states/eV/f.u.
mass density = 4.24 Mg/m³

The structure in POSCAR format:
```
LaCuOF2
1.0
4.671 0.000 0.000
0.000 4.671 0.000
0.000 0.000 4.605
F Cu O La
2 1 1 1
Cartesian
2.335 0.000 0.000
0.000 2.335 0.000
2.335 2.335 2.302
0.000 0.000 2.302
0.000 0.000 0.000
```

---

The data favor model A; the next most stable structure lies 33 meV per atom above it.

---

Model A:
Here is a geometry-optimized Li2Cu2F7 structure from Alexandria. Energies are from PBE.

total magnetic moment = 1.06 Bohr magnetons per cell
density of states at the Fermi level = 0.32 states/eV/f.u.
mass density = 3.25 Mg/m³

The structure in POSCAR format:
```
Li2Cu2F7
1.0
5.020 0.284 0.370
-0.621 5.493 -0.540
-0.621 -1.946 5.165
F Cu Li
7 2 2
Cartesian
0.406 1.384 4.722
3.059 2.175 2.837
0.000 0.000 0.000
3.372 -0.371 2.435
0.406 4.202 2.561
3.372 2.447 0.273
0.719 1.656 2.159
-0.052 2.686 3.503
3.830 1.145 1.493
1.889 0.432 3.635
1.889 3.399 1.360
```

---

Model B:
Here is a geometry-optimized Li2Cu2F7 structure from Alexandria. Energies are from PBE.

total magnetic moment = 3.00 Bohr magnetons per cell
density of states at the Fermi level = 2.79 states/eV/f.u.
mass density = 3.22 Mg/m³

The structure in POSCAR format:
```
Li2Cu2F7
1.0
-4.558 -4.108 -0.805
-2.500 -5.565 1.038
-6.264 -1.019 6.188
F Cu Li
7 2 2
Cartesian
-5.102 -1.447 4.552
-4.774 -3.642 2.450
-7.359 -9.552 0.664
-9.907 -9.504 3.546
-8.405 -4.347 5.948
-10.182 -7.652 5.317
-5.539 -5.891 1.526
-8.679 -9.573 2.121
-9.278 -6.002 5.613
-5.360 -7.261 0.243
-6.273 -3.661 4.110
```

---

The data favor model B; the next most stable structure lies 52 meV per atom above it.